(1)
## YScTa2 (PBE-GGA)

Data for YScTa2 after structural relaxation.

Results
Its density is 9.537 Mg/m³. The value obtained for the density of states at the Fermi level is 4.4 states/eV/f.u. The calculation puts the formation energy at 371 meV per atom. The distance to the lowest polymorph of the same formula is 222 meV per atom. As for the space group: No. 139. Its volume is 86 Å³/cell.

```
4
Lattice="5.7599 -0.0025 0.0000 2.7311 5.0712 0.0000 -4.2455 -2.5343 2.9545" Properties=species:S:1:pos:R:3 pbc="T T T"
Y 1.3655 2.5356 1.4773
Sc 2.8799 -0.0013 1.4773
Ta 4.2455 2.5343 0.0000
Ta 0.0000 0.0000 0.0000
```

=====

(2)
## Y2ScTa (PBE-GGA)

Data for Y2ScTa after structural relaxation.

Results
Its density is 6.574 Mg/m³. The value obtained for the density of states at the Fermi level is 5.2 states/eV/f.u. The calculation puts the formation energy at 287 meV per atom. The distance to the lowest polymorph of the same formula is 80 meV per atom. As for the space group: No. 8. Its volume is 102 Å³/cell.

```
4
Lattice="5.5608 -0.0105 -0.0185 4.6372 3.0689 -0.0185 0.7931 0.2378 5.9556" Properties=species:S:1:pos:R:3 pbc="T T T"
Sc 5.5762 1.6723 2.8026
Y 8.2623 2.4779 4.3170
Y 10.1039 3.0302 0.1122
Ta 2.7422 0.8224 1.6091
```

=====

(3)
## Y2ScTa (PBE-GGA)

Data for Y2ScTa after structural relaxation.

Results
Its density is 6.618 Mg/m³. The value obtained for the density of states at the Fermi level is 4.4 states/eV/f.u. The calculation puts the formation energy at 311 meV per atom. The distance to the lowest polymorph of the same formula is 105 meV per atom. As for the space group: No. 139. Its volume is 101 Å³/cell.

```
4
Lattice="-5.1580 -1.2640 1.9998 -1.7641 -4.7912 -2.4767 4.8424 1.2563 2.6786" Properties=species:S:1:pos:R:3 pbc="T T T"
Ta -0.1914 -3.2813 -0.0183
Sc -1.8883 -1.5176 2.2200
Y 0.0000 0.0000 0.0000
Y -3.4610 -3.0276 -0.2384
```

=====

(4)
## YScTa2 (PBE-GGA)

Data for YScTa2 after structural relaxation.

Results
Its density is 9.463 Mg/m³. The value obtained for the density of states at the Fermi level is 6.6 states/eV/f.u. The calculation puts the formation energy at 613 meV per atom. The distance to the lowest polymorph of the same formula is 464 meV per atom. As for the space group: No. 225. Its volume is 87 Å³/cell.

```
4
Lattice="0.0000 3.5168 3.5168 3.5168 0.0000 3.5168 3.5168 3.5168 0.0000" Properties=species:S:1:pos:R:3 pbc="T T T"
Sc 0.0000 0.0000 0.0000
Y 3.5168 3.5168 3.5168
Ta 1.7584 1.7584 1.7584
Ta 5.2752 5.2752 5.2752
```

=====

(5)
## Y2ScTa (PBE-GGA)

Data for Y2ScTa after structural relaxation.

Results
Its density is 6.562 Mg/m³. The value obtained for the density of states at the Fermi level is 7.5 states/eV/f.u. The calculation puts the formation energy at 410 meV per atom. The distance to the lowest polymorph of the same formula is 203 meV per atom. As for the space group: No. 216. Its volume is 102 Å³/cell.

```
4
Lattice="-3.7794 1.4378 3.3439 -2.2584 -3.5783 3.1030 0.9390 0.0367 5.1623" Properties=species:S:1:pos:R:3 pbc="T T T"
Y -1.2747 -0.5259 2.9023
Y 0.0000 0.0000 0.0000
Ta -3.8241 -1.5778 8.7069
Sc -2.5494 -1.0518 5.8046
```

=====

(6)
## YScTa2 (PBE-GGA)

Data for YScTa2 after structural relaxation.

Results
Its density is 9.213 Mg/m³. The value obtained for the density of states at the Fermi level is 4.0 states/eV/f.u. The calculation puts the formation energy at 261 meV per atom. The distance to the lowest polymorph of the same formula is 112 meV per atom. As for the space group: No. 6. Its volume is 89 Å³/cell.

```
4
Lattice="4.7962 0.0000 0.0000 0.0000 3.0858 -0.0008 0.0000 1.7292 6.0369" Properties=species:S:1:pos:R:3 pbc="T T T"
Sc 2.3981 3.7678 4.7615
Ta 0.0000 0.3552 0.0434
Ta 2.3981 0.8378 1.3734
Y 0.0000 2.2617 2.8757
```

=====

(7)
## YScTa2 (PBE-GGA)

Data for YScTa2 after structural relaxation.

Results
Its density is 9.473 Mg/m³. The value obtained for the density of states at the Fermi level is 4.6 states/eV/f.u. The calculation puts the formation energy at 389 meV per atom. The distance to the lowest polymorph of the same formula is 240 meV per atom. As for the space group: No. 166. Its volume is 87 Å³/cell.

```
4
Lattice="10.5995 0.0097 0.0057 10.1437 3.0751 0.0057 10.1437 1.5085 2.6797" Properties=species:S:1:pos:R:3 pbc="T T T"
Sc 23.1652 3.4450 2.0183
Ta 15.3435 2.2818 1.3368
Ta 0.1000 0.0149 0.0087
Y 7.7217 1.1483 0.6728
```

=====

(8)
## Y2ScTa (PBE-GGA)

Data for Y2ScTa after structural relaxation.

Results
Its density is 6.642 Mg/m³. The value obtained for the density of states at the Fermi level is 5.8 states/eV/f.u. The calculation puts the formation energy at 326 meV per atom. The distance to the lowest polymorph of the same formula is 119 meV per atom. As for the space group: No. 65. Its volume is 101 Å³/cell.

```
4
Lattice="5.7634 -0.0031 -0.0065 -1.9948 5.4072 -0.0065 0.0048 0.0069 3.2395" Properties=species:S:1:pos:R:3 pbc="T T T"
Ta -0.9950 2.7071 1.6165
Y 1.8843 2.7021 -0.0065
Y 0.0000 0.0000 0.0000
Sc 2.8841 0.0019 1.6165
```

=====

(9)
## Y2ScTa (PBE-GGA)

Data for Y2ScTa after structural relaxation.

Results
Its density is 6.360 Mg/m³. The value obtained for the density of states at the Fermi level is 4.6 states/eV/f.u. The calculation puts the formation energy at 248 meV per atom. The distance to the lowest polymorph of the same formula is 41 meV per atom. As for the space group: No. 25. Its volume is 105 Å³/cell.

```
4
Lattice="-2.2799 0.2513 -2.4969 1.5896 -3.3398 -1.7876 -4.7752 -4.3710 3.9202" Properties=species:S:1:pos:R:3 pbc="T T T"
Ta -3.7569 -4.6673 0.6587
Sc -2.5825 -2.3639 2.1201
Y -1.7241 -2.8065 -1.0102
Y -4.5646 -4.1783 3.7473
```

=====

(10)
## Y2ScTa (PBE-GGA)

Data for Y2ScTa after structural relaxation.

Results
Its density is 6.552 Mg/m³. The value obtained for the density of states at the Fermi level is 4.1 states/eV/f.u. The calculation puts the formation energy at 366 meV per atom. The distance to the lowest polymorph of the same formula is 159 meV per atom. As for the space group: No. 123. Its volume is 102 Å³/cell.

```
4
Lattice="-0.3494 -3.4917 -1.6362 3.8287 -0.1189 -0.5639 0.8078 -2.9417 6.1053" Properties=species:S:1:pos:R:3 pbc="T T T"
Sc 1.9416 -2.5407 0.4263
Y 0.7898 -2.8762 5.9692
Y 0.4219 -1.5364 3.1887
Ta 2.3455 -4.0116 3.4789
```

=====

(11)
## YScTa3 (PBE-GGA)

Data for YScTa3 after structural relaxation.

Results
Its density is 9.711 Mg/m³. The value obtained for the density of states at the Fermi level is 4.4 states/eV/f.u. The calculation puts the formation energy at 1455 meV per atom. The distance to the lowest polymorph of the same formula is 0 meV per atom. As for the space group: No. 221. Its volume is 116 Å³/cell.

```
5
Lattice="-4.1940 -2.4625 0.3047 1.8160 -2.6385 3.6725 -1.6908 3.2743 3.1885" Properties=species:S:1:pos:R:3 pbc="T T T"
Ta -0.8454 1.6372 1.5942
Ta 0.9080 -1.3192 1.8363
Ta -2.0970 -1.2312 0.1523
Sc 0.0000 0.0000 0.0000
Y -2.0345 -0.9133 3.5829
```

=====

(12)
## Y2ScTa (PBE-GGA)

Data for Y2ScTa after structural relaxation.

Results
Its density is 6.480 Mg/m³. The value obtained for the density of states at the Fermi level is 4.9 states/eV/f.u. The calculation puts the formation energy at 227 meV per atom. The distance to the lowest polymorph of the same formula is 20 meV per atom. As for the space group: No. 99. Its volume is 103 Å³/cell.

```
4
Lattice="-1.0956 2.1938 -2.0704 1.4083 -1.5720 -2.4177 -8.3461 -5.4263 -1.3333" Properties=species:S:1:pos:R:3 pbc="T T T"
Sc -4.4794 -2.9123 -0.7156
Y -2.0288 -1.1098 -2.5931
Y -8.0437 -5.2297 -1.2850
Ta -6.0007 -3.6921 -3.2276
```

=====

(13)
## Y2ScTa (PBE-GGA)

Data for Y2ScTa after structural relaxation.

Results
Its density is 6.533 Mg/m³. The value obtained for the density of states at the Fermi level is 6.2 states/eV/f.u. The calculation puts the formation energy at 336 meV per atom. The distance to the lowest polymorph of the same formula is 129 meV per atom. As for the space group: No. 166. Its volume is 103 Å³/cell.

```
4
Lattice="-2.1438 -2.4420 -10.5776 -2.4250 -5.4715 -9.3073 -5.0038 -3.4177 -9.2588" Properties=species:S:1:pos:R:3 pbc="T T T"
Ta -7.1794 -8.4984 -21.8578
Sc -2.3931 -2.8328 -7.2859
Y -0.0534 -0.0632 -0.1627
Y -4.7329 -5.6024 -14.4092
```

=====

(14)
## YScTa (PBE-GGA)

Data for YScTa after structural relaxation.

Results
Its density is 6.204 Mg/m³. The value obtained for the density of states at the Fermi level is 4.1 states/eV/f.u. The calculation puts the formation energy at 971 meV per atom. The distance to the lowest polymorph of the same formula is 736 meV per atom. As for the space group: No. 216. Its volume is 84 Å³/cell.

```
3
Lattice="-4.7361 0.1944 -1.3222 -3.2215 -3.1908 1.9124 -3.3896 1.5525 3.2120" Properties=species:S:1:pos:R:3 pbc="T T T"
Ta -2.8368 -0.3610 0.9506
Sc -5.6736 -0.7220 1.9011
Y 0.0000 0.0000 0.0000
```

=====

(15)
## Y2ScTa (PBE-GGA)

Data for Y2ScTa after structural relaxation.

Results
Its density is 6.545 Mg/m³. The value obtained for the density of states at the Fermi level is 6.0 states/eV/f.u. The calculation puts the formation energy at 295 meV per atom. The distance to the lowest polymorph of the same formula is 88 meV per atom. As for the space group: No. 160. Its volume is 102 Å³/cell.

```
4
Lattice="11.1098 -0.0111 -0.0065 10.6268 3.2403 -0.0065 10.6268 1.5787 2.8297" Properties=species:S:1:pos:R:3 pbc="T T T"
Ta 24.3756 3.6213 2.1215
Y 7.9900 1.1870 0.6954
Y 0.2841 0.0422 0.0247
Sc 15.8954 2.3614 1.3834
```

=====

(16)
## YScTa2 (PBE-GGA)

Data for YScTa2 after structural relaxation.

Results
Its density is 9.098 Mg/m³. The value obtained for the density of states at the Fermi level is 5.7 states/eV/f.u. The calculation puts the formation energy at 296 meV per atom. The distance to the lowest polymorph of the same formula is 147 meV per atom. As for the space group: No. 99. Its volume is 90 Å³/cell.

```
4
Lattice="3.0634 0.0000 0.0000 0.0000 3.0634 0.0000 0.0000 0.0000 9.6414" Properties=species:S:1:pos:R:3 pbc="T T T"
Y 0.0000 0.0000 4.5716
Ta 0.0000 0.0000 0.1111
Ta 1.5317 1.5317 2.1681
Sc 1.5317 1.5317 7.6113
```

=====

(17)
## YScTa (PBE-GGA)

Data for YScTa after structural relaxation.

Results
Its density is 7.337 Mg/m³. The value obtained for the density of states at the Fermi level is 4.8 states/eV/f.u. The calculation puts the formation energy at 312 meV per atom. The distance to the lowest polymorph of the same formula is 76 meV per atom. As for the space group: No. 156. Its volume is 71 Å³/cell.

```
3
Lattice="3.1928 0.0000 0.0000 -1.5964 2.7651 0.0000 0.0000 0.0000 8.0706" Properties=species:S:1:pos:R:3 pbc="T T T"
Sc 0.0000 0.0000 0.2311
Y 0.0000 1.8434 5.2263
Ta 1.5964 0.9217 2.6132
```

=====

(18)
## YScTa2 (PBE-GGA)

Data for YScTa2 after structural relaxation.

Results
Its density is 9.528 Mg/m³. The value obtained for the density of states at the Fermi level is 4.8 states/eV/f.u. The calculation puts the formation energy at 374 meV per atom. The distance to the lowest polymorph of the same formula is 225 meV per atom. As for the space group: No. 123. Its volume is 86 Å³/cell.

```
4
Lattice="4.1848 0.0000 0.0000 0.0000 4.1848 0.0000 0.0000 0.0000 4.9334" Properties=species:S:1:pos:R:3 pbc="T T T"
Ta 0.0000 0.0000 0.0000
Ta 2.0924 2.0924 0.0000
Sc 0.0000 2.0924 2.4667
Y 2.0924 0.0000 2.4667
```

=====

(19)
## YScTa (PBE-GGA)

Data for YScTa after structural relaxation.

Results
Its density is 7.225 Mg/m³. The value obtained for the density of states at the Fermi level is 4.4 states/eV/f.u. The calculation puts the formation energy at 236 meV per atom. The distance to the lowest polymorph of the same formula is 0 meV per atom. As for the space group: No. 42. Its volume is 72 Å³/cell.

```
3
Lattice="-3.9267 5.3334 -3.9517 -5.3692 5.4083 -1.1754 1.5605 2.6120 0.7327" Properties=species:S:1:pos:R:3 pbc="T T T"
Y -5.8354 8.1504 -3.2593
Sc -9.0661 10.5696 -5.0030
Ta -2.1297 5.3753 -1.2591
```

=====

(20)
## YScTa2 (PBE-GGA)

Data for YScTa2 after structural relaxation.

Results
Its density is 9.565 Mg/m³. The value obtained for the density of states at the Fermi level is 5.5 states/eV/f.u. The calculation puts the formation energy at 340 meV per atom. The distance to the lowest polymorph of the same formula is 191 meV per atom. As for the space group: No. 119. Its volume is 86 Å³/cell.

```
4
Lattice="-1.4765 4.0449 2.4758 -1.8932 -2.8256 3.6198 4.7449 -0.5167 -1.3748" Properties=species:S:1:pos:R:3 pbc="T T T"
Ta 0.5834 -1.3663 2.6464
Ta 0.0000 0.0000 0.0000
Y -1.6849 0.6097 3.0478
Sc 0.7918 2.0689 2.0744
```